The following is a GGA-PBE calculation of a geometry-optimized MgSc2ZnN structure, from the Alexandria database.

## Properties
**Uncorrected formation energy**: -0.7716 eV/atom
**Size of the total moment**: 0.00 μB per atom
**SG**: P4/mmm (123)

Unit cell a=4.3962 b=4.3962 c=4.3100 alpha=90.00 beta=90.00 gamma=90.00
Closest atoms and distances in Å follow each position.
Element x y z (fractional)
Sc1 0.0000 0.5000 0.0000  2 N 2.20
Sc2 0.5000 0.0000 0.0000  2 N 2.20
Zn1 0.5000 0.5000 0.5000  8 Sc 3.08, 4 Mg 3.11
Mg1 0.0000 0.0000 0.5000  2 N 2.16
N1 0.0000 0.0000 0.0000  2 Mg 2.16, 4 Sc 2.20